Arrangement i

Material: ErHg2Au
Method: DFT, GGA-PBE
State: relaxed

POSCAR file:
```
ErHg2Au
1.0
4.4148 0.0000 -1.2244
-0.3396 4.4018 -1.2244
0.1919 0.2072 9.2634
Er Hg Au
2 4 2
Cartesian
0.6162 0.6656 2.2220
3.6509 3.9434 4.5925
-0.1698 2.2009 -0.6122
2.2074 0.0000 -0.6122
1.6408 1.7723 5.9163
2.6263 2.8367 0.8983
0.9450 3.4049 3.4073
3.3222 1.2041 3.4073
```

DOS at the Fermi energy, states/eV per cell: 4.3
M_tot, μB per atom: 0.000

---

Arrangement ii

Material: ErHg2Au
Method: DFT, GGA-PBE
State: relaxed

POSCAR file:
```
ErHg2Au
1.0
3.3848 0.0000 0.0000
1.6924 2.9313 0.0000
1.6924 0.9771 10.4593
Au Hg Er
1 2 1
Cartesian
3.3848 1.9542 5.2296
1.6924 0.9771 7.4703
5.0772 2.9313 2.9890
0.0000 0.0000 0.0000
```

DOS at the Fermi energy, states/eV per cell: 2.6
M_tot, μB per atom: 0.000

---

It is arrangement i that is most stable; the runner-up trails by 0.592 eV/atom.

---

Arrangement i

Material: ErHg2Au
Method: DFT, GGA-PBE
State: relaxed

POSCAR file:
```
ErHg2Au
1.0
4.9677 0.0000 0.0000
2.4839 4.3022 0.0000
2.4839 1.4341 4.0561
Au Hg Er
1 2 1
Cartesian
4.9677 2.8681 2.0281
2.4839 1.4341 1.0140
7.4516 4.3022 3.0421
0.0000 0.0000 0.0000
```

DOS at the Fermi energy, states/eV per cell: 1.3
M_tot, μB per atom: 0.000

---

Arrangement ii

Material: ErHg2Au
Method: DFT, GGA-PBE
State: relaxed

POSCAR file:
```
ErHg2Au
1.0
4.8499 0.0000 0.0000
0.0000 4.3448 0.0000
0.0000 0.0000 4.3448
Au Hg Er
1 2 1
Cartesian
2.4249 0.0000 0.0000
0.0000 0.0000 2.1724
0.0000 2.1724 0.0000
2.4249 2.1724 2.1724
```

DOS at the Fermi energy, states/eV per cell: 2.7
M_tot, μB per atom: 0.000

---

It is arrangement i that is most stable; the runner-up trails by 0.008 eV/atom.

---

Arrangement i

Material: HoErHgAu
Method: DFT, GGA-PBE
State: relaxed

POSCAR file:
```
HoErHgAu
1.0
5.1436 0.0000 0.0000
2.5718 4.4545 0.0000
2.5718 1.4848 4.1997
Ho Au Hg Er
1 1 1 1
Cartesian
2.5718 1.4848 1.0499
0.0000 0.0000 0.0000
5.1436 2.9696 2.0998
7.7153 4.4545 3.1498
```

DOS at the Fermi energy, states/eV per cell: 3.3
M_tot, μB per atom: 0.000

---

Arrangement ii

Material: HoErHgAu
Method: DFT, GGA-PBE
State: relaxed

POSCAR file:
```
HoErHgAu
1.0
3.6508 0.0000 0.0000
0.0000 3.6508 0.0000
0.0000 0.0000 7.2174
Ho Er Hg Au
1 1 1 1
Cartesian
1.8254 1.8254 4.3051
1.8254 1.8254 0.8515
0.0000 0.0000 6.1994
0.0000 0.0000 2.5589
```

DOS at the Fermi energy, states/eV per cell: 2.7
M_tot, μB per atom: 0.000

---

It is arrangement ii that is most stable; the runner-up trails by 0.012 eV/atom.

---

Arrangement i

Material: ErScHgAu
Method: DFT, GGA-PBE
State: relaxed

POSCAR file:
```
ErScHgAu
1.0
3.5661 0.0000 0.0000
0.0000 3.5661 0.0000
0.0000 0.0000 7.0206
Er Sc Hg Au
1 1 1 1
Cartesian
1.7831 1.7831 4.1830
1.7831 1.7831 0.8251
0.0000 0.0000 6.1387
0.0000 0.0000 2.3885
```

DOS at the Fermi energy, states/eV per cell: 2.9
M_tot, μB per atom: 0.000

---

Arrangement ii

Material: ErScHgAu
Method: DFT, GGA-PBE
State: relaxed

POSCAR file:
```
ErScHgAu
1.0
5.0224 0.0000 0.0000
2.5112 4.3495 0.0000
2.5112 1.4498 4.1008
Sc Au Hg Er
1 1 1 1
Cartesian
2.5112 1.4498 1.0252
0.0000 0.0000 0.0000
5.0224 2.8997 2.0504
7.5336 4.3495 3.0756
```

DOS at the Fermi energy, states/eV per cell: 3.4
M_tot, μB per atom: 0.000

---

It is arrangement i that is most stable; the runner-up trails by 0.017 eV/atom.

---

Arrangement i

Material: SmErHgAu
Method: DFT, GGA-PBE
State: relaxed

POSCAR file:
```
SmErHgAu
1.0
3.6776 0.0000 0.0000
0.0000 3.6776 0.0000
0.0000 0.0000 7.3778
Sm Er Hg Au
1 1 1 1
Cartesian
1.8388 1.8388 0.8528
1.8388 1.8388 4.3779
0.0000 0.0000 6.2263
0.0000 0.0000 2.7671
```

DOS at the Fermi energy, states/eV per cell: 3.4
M_tot, μB per atom: 0.000

---

Arrangement ii

Material: SmErHgAu
Method: DFT, GGA-PBE
State: relaxed

POSCAR file:
```
SmErHgAu
1.0
5.2089 0.0000 0.0000
2.6044 4.5110 0.0000
2.6044 1.5037 4.2530
Au Hg Sm Er
1 1 1 1
Cartesian
0.0000 0.0000 0.0000
5.2089 3.0073 2.1265
2.6044 1.5037 1.0633
7.8133 4.5110 3.1898
```

DOS at the Fermi energy, states/eV per cell: 3.6
M_tot, μB per atom: 0.000

---

It is arrangement i that is most stable; the runner-up trails by 0.018 eV/atom.

---

Arrangement i

Material: ErTmHgAu
Method: DFT, GGA-PBE
State: relaxed

POSCAR file:
```
ErTmHgAu
1.0
-2.0429 -2.8359 -1.0083
2.2266 -0.6040 -2.8125
3.9970 -4.3355 4.0956
Er Tm Hg Au
1 1 1 1
Cartesian
2.4753 -4.3053 0.5318
0.5641 -2.2322 -1.4265
3.4346 -3.7255 3.5193
1.4157 -1.5357 1.4506
```

DOS at the Fermi energy, states/eV per cell: 2.5
M_tot, μB per atom: 0.000

---

Arrangement ii

Material: ErTmHgAu
Method: DFT, GGA-PBE
State: relaxed

POSCAR file:
```
ErTmHgAu
1.0
-4.7499 -1.3842 1.3223
-0.7177 -3.7417 3.4222
-1.7838 1.1093 4.6706
Tm Au Hg Er
1 1 1 1
Cartesian
-5.4386 -3.0125 7.0613
-3.6257 -2.0083 4.7075
0.0000 0.0000 0.0000
-1.8129 -1.0042 2.3538
```

DOS at the Fermi energy, states/eV per cell: 2.7
M_tot, μB per atom: 0.000

---

It is arrangement i that is most stable; the runner-up trails by 0.011 eV/atom.

---

Arrangement i

Material: HoErAu
Method: DFT, GGA-PBE
State: relaxed

POSCAR file:
```
HoErAu
1.0
-2.2220 -3.9631 -5.4981
-0.6759 -5.4064 4.1701
-6.4153 1.8773 1.2396
Au Er Ho
4 4 4
Cartesian
-3.3215 -5.5520 0.3653
-7.4708 -6.2929 -1.3449
-1.8425 -1.1993 1.2565
-5.9918 -1.9401 -0.4538
-4.2199 -7.9345 -1.0090
-6.7100 -5.7160 1.3865
-2.6033 -1.7762 -1.4749
-5.0933 0.4423 0.9205
-0.9396 -4.0071 0.9405
-4.1404 -3.0562 1.5774
-5.1729 -4.4360 -1.6658
-8.3736 -3.4851 -1.0290
```

DOS at the Fermi energy, states/eV per cell: 15.2
M_tot, μB per atom: 0.000

---

Arrangement ii

Material: HoErAu
Method: DFT, GGA-PBE
State: relaxed

POSCAR file:
```
HoErAu
1.0
-1.3744 4.2725 2.0383
-7.9967 -3.4214 1.7797
2.3572 -2.2402 6.2849
Ho Er Au
4 4 4
Cartesian
-5.7804 -2.8381 5.0315
-3.5836 2.0679 2.1897
-3.4303 -3.4569 7.9132
-1.2335 1.4490 5.0715
-8.0343 -0.2757 4.1010
-4.1419 -0.2346 6.6395
1.0204 -1.1134 6.0019
-2.8720 -1.1544 3.4634
-5.2456 0.6117 4.1212
-6.4870 -1.5437 7.8022
-0.5269 0.1547 2.3007
-1.7683 -2.0008 5.9817
```

DOS at the Fermi energy, states/eV per cell: 11.7
M_tot, μB per atom: 0.000

---

It is arrangement ii that is most stable; the runner-up trails by 0.108 eV/atom.

---

Arrangement i

Material: HoErAu
Method: DFT, GGA-PBE
State: relaxed

POSCAR file:
```
HoErAu
1.0
-2.5664 -1.8431 1.6605
2.4415 -1.4528 2.1608
-0.6903 6.2496 2.0338
Au Ho Er
1 1 1
Cartesian
-0.3114 -0.1262 3.2151
-0.4705 2.8766 2.4658
-0.0332 0.2032 0.1742
```

DOS at the Fermi energy, states/eV per cell: 3.1
M_tot, μB per atom: 0.293

---

Arrangement ii

Material: HoErAu
Method: DFT, GGA-PBE
State: relaxed

POSCAR file:
```
HoErAu
1.0
-0.3280 -3.3442 -3.6195
4.0769 -1.5121 -2.3419
1.6999 -4.5823 0.7103
Au Ho Er
1 1 1
Cartesian
1.3622 -2.3597 -1.3128
2.7244 -4.7193 -2.6256
0.0000 0.0000 0.0000
```

DOS at the Fermi energy, states/eV per cell: 3.7
M_tot, μB per atom: 0.000

---

Arrangement iii

Material: HoErAu
Method: DFT, GGA-PBE
State: relaxed

POSCAR file:
```
HoErAu
1.0
-1.0689 -2.4263 -2.6913
4.4382 0.2781 -2.0134
-0.9276 -3.3705 3.4070
Au Ho Er
1 1 1
Cartesian
0.5101 -2.9508 0.7168
2.0096 -2.3908 -1.8180
-0.0780 -0.1771 -0.1965
```

DOS at the Fermi energy, states/eV per cell: 1.7
M_tot, μB per atom: 0.000

---

Arrangement iv

Material: HoErAu
Method: DFT, GGA-PBE
State: relaxed

POSCAR file:
```
HoErAu
1.0
4.8058 -0.1503 -1.2600
-2.5426 4.2525 -0.3965
-0.4675 0.4573 7.9475
Ho Er Au
2 2 2
Cartesian
-0.2713 0.7493 1.4849
0.6012 4.4422 4.3687
1.1839 2.1179 6.8625
2.5751 2.5280 2.3250
-1.4767 3.3880 6.3726
-0.1500 3.7347 1.5900
```

DOS at the Fermi energy, states/eV per cell: 5.6
M_tot, μB per atom: 0.000

---

It is arrangement i that is most stable; the runner-up trails by 0.068 eV/atom.

---

Arrangement i

Material: Ho3ErAu2
Method: DFT, GGA-PBE
State: relaxed

POSCAR file:
```
Ho3ErAu2
1.0
4.9417 0.0000 0.0000
0.0000 7.0617 0.0000
0.0000 0.0000 8.9056
Ho Er Au
6 2 4
Cartesian
0.0000 3.4398 8.2516
0.0000 6.9706 0.6539
2.4708 4.5870 1.5082
2.4708 1.0562 7.3974
0.0000 2.4751 2.9477
0.0000 6.0059 5.9579
2.4708 3.6224 5.1032
2.4708 0.0916 3.8024
2.4708 5.2317 7.5495
2.4708 1.7009 1.3561
0.0000 1.8290 5.7993
0.0000 5.3599 3.1063
```

DOS at the Fermi energy, states/eV per cell: 11.7
M_tot, μB per atom: 0.000

---

Arrangement ii

Material: Ho3ErAu2
Method: DFT, GGA-PBE
State: relaxed

POSCAR file:
```
Ho3ErAu2
1.0
-1.2765 4.1818 5.4571
-7.0491 -1.6853 -0.3574
5.2103 -6.5424 1.7522
Ho Er Au
6 2 4
Cartesian
-2.4005 1.6696 2.6392
-5.9251 0.8270 2.4605
1.6842 -0.3186 5.1182
-1.2749 -2.8846 1.9123
-4.7994 -3.7273 1.7336
-1.8404 -1.1612 4.9395
-3.5246 -0.8426 -0.1787
0.0000 0.0000 0.0000
0.4893 -2.9397 4.2108
-0.6052 1.4573 5.0654
-2.5100 -5.5031 1.7865
-3.6045 -1.1061 2.6410
```

DOS at the Fermi energy, states/eV per cell: 16.1
M_tot, μB per atom: 0.000

---

It is arrangement i that is most stable; the runner-up trails by 0.182 eV/atom.

---

Arrangement i

Material: HoEr3Au2
Method: DFT, GGA-PBE
State: relaxed

POSCAR file:
```
HoEr3Au2
1.0
-6.7549 1.7297 0.3360
-1.6174 -6.7249 2.1029
4.9913 4.3630 5.3653
Ho Er Au
2 6 4
Cartesian
-0.8087 -3.3625 1.0514
0.0000 0.0000 0.0000
-3.7818 -0.8164 0.6937
-4.5905 -4.1789 1.7451
-2.5434 3.5416 3.1565
-0.0289 -0.8114 3.5962
-0.8376 -4.1739 4.6477
-3.3521 0.1792 4.2079
-0.8097 1.6923 4.7892
-4.5364 1.7482 2.1015
1.1554 -2.3804 5.7027
-2.5712 -2.3246 3.0150
```

DOS at the Fermi energy, states/eV per cell: 15.7
M_tot, μB per atom: 0.004

---

Arrangement ii

Material: HoEr3Au2
Method: DFT, GGA-PBE
State: relaxed

POSCAR file:
```
HoEr3Au2
1.0
4.9251 0.0000 0.0000
0.0000 7.0612 0.0000
0.0000 0.0000 8.8744
Ho Er Au
2 6 4
Cartesian
2.4625 3.6259 5.0874
2.4625 0.0953 3.7870
0.0000 3.4350 8.2281
0.0000 6.9656 0.6463
2.4625 4.5831 1.5057
2.4625 1.0525 7.3687
0.0000 2.4775 2.9283
0.0000 6.0080 5.9461
2.4625 5.2415 7.5370
2.4625 1.7109 1.3374
0.0000 1.8206 5.7850
0.0000 5.3512 3.0894
```

DOS at the Fermi energy, states/eV per cell: 11.6
M_tot, μB per atom: 0.000

---

It is arrangement ii that is most stable; the runner-up trails by 0.184 eV/atom.

---

Arrangement i

Material: HoErIrAu
Method: DFT, GGA-PBE
State: relaxed

POSCAR file:
```
HoErIrAu
1.0
4.9344 0.0000 0.0000
2.4672 4.2733 0.0000
2.4672 1.4244 4.0289
Ir Au Ho Er
1 1 1 1
Cartesian
4.9344 2.8489 2.0144
0.0000 0.0000 0.0000
7.4015 4.2733 3.0217
2.4672 1.4244 1.0072
```

DOS at the Fermi energy, states/eV per cell: 3.3
M_tot, μB per atom: 0.000

---

Arrangement ii

Material: HoErIrAu
Method: DFT, GGA-PBE
State: relaxed

POSCAR file:
```
HoErIrAu
1.0
3.4949 0.0000 0.0000
0.0000 3.4949 0.0000
0.0000 0.0000 7.0007
Ho Er Ir Au
1 1 1 1
Cartesian
1.7474 1.7474 0.6282
1.7474 1.7474 4.3660
0.0000 0.0000 5.9884
0.0000 0.0000 2.5145
```

DOS at the Fermi energy, states/eV per cell: 4.9
M_tot, μB per atom: 0.000

---

It is arrangement ii that is most stable; the runner-up trails by 0.013 eV/atom.

---

Arrangement i

Material: HoErPdAu
Method: DFT, GGA-PBE
State: relaxed

POSCAR file:
```
HoErPdAu
1.0
-2.0829 -0.1143 -3.0661
-2.4606 -3.5024 1.8021
-2.3267 3.5340 3.6915
Ho Er Pd Au
1 1 1 1
Cartesian
-0.9387 0.9690 0.6015
-4.7150 0.7138 0.9337
-2.7761 2.8658 1.7791
-2.8499 -1.2115 -0.2615
```

DOS at the Fermi energy, states/eV per cell: 1.9
M_tot, μB per atom: 0.000

---

Arrangement ii

Material: HoErPdAu
Method: DFT, GGA-PBE
State: relaxed

POSCAR file:
```
HoErPdAu
1.0
4.9948 0.0000 0.0000
2.4974 4.3256 0.0000
2.4974 1.4419 4.0782
Au Ho Pd Er
1 1 1 1
Cartesian
0.0000 0.0000 0.0000
7.4921 4.3256 3.0587
4.9948 2.8837 2.0391
2.4974 1.4419 1.0196
```

DOS at the Fermi energy, states/eV per cell: 3.2
M_tot, μB per atom: 0.000

---

It is arrangement i that is most stable; the runner-up trails by 0.041 eV/atom.

---

Arrangement i

Material: HoErRhAu
Method: DFT, GGA-PBE
State: relaxed

POSCAR file:
```
HoErRhAu
1.0
4.9432 0.0000 0.0000
2.4716 4.2809 0.0000
2.4716 1.4270 4.0361
Rh Au Ho Er
1 1 1 1
Cartesian
4.9432 2.8540 2.0181
0.0000 0.0000 0.0000
7.4148 4.2809 3.0271
2.4716 1.4270 1.0090
```

DOS at the Fermi energy, states/eV per cell: 3.2
M_tot, μB per atom: 0.000

---

Arrangement ii

Material: HoErRhAu
Method: DFT, GGA-PBE
State: relaxed

POSCAR file:
```
HoErRhAu
1.0
3.5085 0.0000 0.0000
0.0000 3.5085 0.0000
0.0000 0.0000 6.9186
Ho Er Rh Au
1 1 1 1
Cartesian
0.0000 0.0000 5.8395
0.0000 0.0000 2.5563
1.7542 1.7542 4.1888
1.7542 1.7542 0.7543
```

DOS at the Fermi energy, states/eV per cell: 4.4
M_tot, μB per atom: 0.000

---

It is arrangement ii that is most stable; the runner-up trails by 0.021 eV/atom.